Li3V4O5F7: optimized geometry, PBE with a Hubbard U.

Calculated values
Energy   -120.64 eV/cell

Cell lengths 5.771, 5.851, 6.172 Å; angles 100.17, 97.72, 97.98 degrees
Each line ends with the local moment (μB).
Atoms (fractional coordinates):
F (0.594, 0.181, 0.420)  -0.01
F (0.815, 0.602, 0.443)  0.00
F (0.436, 0.831, 0.586)  0.00
F (0.944, 0.288, 0.132)  -0.01
F (0.390, 0.575, 0.155)  0.00
F (0.123, 0.965, 0.315)  0.00
F (0.694, 0.873, 0.050)  0.00
Li (0.593, 0.319, 0.135)  0.00
Li (0.130, 0.588, 0.321)  0.00
Li (0.648, 0.840, 0.364)  0.00
O (0.335, 0.058, 0.936)  -0.05
O (0.951, 0.104, 0.715)  -0.04
O (0.591, 0.425, 0.797)  -0.09
O (0.027, 0.684, 0.893)  -0.09
O (0.176, 0.439, 0.600)  -0.06
V (0.300, 0.147, 0.628)  1.94
V (0.850, 0.395, 0.661)  1.11
V (0.381, 0.692, 0.860)  1.92
V (0.023, 0.994, 0.988)  1.10